Record 1
A plane-wave DFT calculation with PBE was carried out for a geometry-optimized TaBeSnOs2 structure.

Computed properties:
Energy relative to the elements = 356 kJ/mol of formula units

a b c (Å): 4.253 4.329 4.253
angles (deg): 90.00 90.00 90.00
Atoms (fractional coordinates):
Be 0.000 0.000 0.000
Os 0.000 0.000 0.500
Os 0.500 0.000 0.000
Sn 0.000 0.500 0.000
Ta 0.500 0.500 0.500



Record 2
A plane-wave DFT calculation with PBE was carried out for a geometry-optimized TiPCl2F structure.

Computed properties:
Distance to the lowest polymorph of the same formula = 0.0000 eV/atom

a b c (Å): 4.623 4.623 4.938
angles (deg): 90.00 90.00 90.00
Last column: magnetic moment on the atom in μB.
Atoms (fractional coordinates):
P 0.000 0.000 0.500  0.34
F 0.500 0.500 0.500  -0.04
Cl 0.000 0.500 0.000  0.05
Cl 0.500 0.000 0.000  0.05
Ti 0.000 0.000 0.000  -0.09



Record 3
A plane-wave DFT calculation with PBE was carried out for a geometry-optimized YTc2Ni2 structure.

Computed properties:
Distance to the lowest polymorph of the same formula = 0.2070 eV/atom
Energy relative to the elements = 78 kJ/mol of formula units

a b c (Å): 7.546 7.546 2.663
angles (deg): 90.00 90.00 90.00
Atoms (fractional coordinates):
Y 0.000 0.000 0.000
Y 0.500 0.500 0.000
Ni 0.382 0.882 0.000
Ni 0.882 0.618 0.000
Ni 0.618 0.118 0.000
Ni 0.118 0.382 0.000
Tc 0.174 0.674 0.500
Tc 0.674 0.826 0.500
Tc 0.826 0.326 0.500
Tc 0.326 0.174 0.500



Record 4
A plane-wave DFT calculation with PBE was carried out for a geometry-optimized B5C7 structure.

Computed properties:
Distance to the lowest polymorph of the same formula = 0.0439 eV/atom
Energy relative to the elements = 349 kJ/mol of formula units

a b c (Å): 2.636 4.548 6.641
angles (deg): 89.62 90.00 90.00
Atoms (fractional coordinates):
B 0.500 0.565 0.010
B 0.500 0.158 0.888
B 0.000 0.324 0.628
B 0.000 0.339 0.281
B 0.000 0.979 0.027
C 0.500 0.833 0.347
C 0.500 0.519 0.254
C 0.000 0.671 0.664
C 0.000 0.991 0.268
C 0.000 0.646 0.895
C 0.500 0.149 0.654
C 0.500 0.826 0.584



Record 5
A plane-wave DFT calculation with PBE was carried out for a geometry-optimized Mg2AlIr2 structure.

Computed properties:
Energy relative to the elements = -66 kJ/mol of formula units

a b c (Å): 7.307 7.307 2.967
angles (deg): 90.00 90.00 90.00
Atoms (fractional coordinates):
Mg 0.376 0.876 0.000
Mg 0.876 0.624 0.000
Mg 0.624 0.124 0.000
Mg 0.124 0.376 0.000
Ir 0.177 0.677 0.500
Ir 0.677 0.823 0.500
Ir 0.823 0.323 0.500
Ir 0.323 0.177 0.500
Al 0.000 0.000 0.000
Al 0.500 0.500 0.000



Record 6
A plane-wave DFT calculation with PBE was carried out for a geometry-optimized TiCr2Hg2S6 structure.

a b c (Å): 5.714 5.714 9.307
angles (deg): 96.16 96.16 119.98
Last column: magnetic moment on the atom in μB.
Atoms (fractional coordinates):
Ti 0.000 0.000 0.500  0.14
Cr 0.334 0.666 0.500  2.32
Cr 0.666 0.334 0.500  2.32
Hg 0.833 0.167 0.000  0.00
Hg 0.167 0.833 0.000  0.00
S 0.712 0.712 0.656  -0.09
S 0.054 0.398 0.656  -0.10
S 0.288 0.288 0.344  -0.09
S 0.398 0.054 0.656  -0.10
S 0.946 0.602 0.344  -0.10
S 0.602 0.946 0.344  -0.10



Record 7
A plane-wave DFT calculation with PBE was carried out for a geometry-optimized CuHPd3 structure.

Computed properties:
Distance to the lowest polymorph of the same formula = 0.0259 eV/atom

a b c (Å): 10.278 7.197 7.197
angles (deg): 79.74 124.49 55.51
Atoms (fractional coordinates):
H 0.750 0.176 0.676
H 0.250 0.824 0.324
H 0.750 0.457 0.957
H 0.250 0.543 0.043
Cu 0.082 0.479 0.399
Cu 0.418 0.899 0.979
Cu 0.918 0.521 0.601
Cu 0.582 0.101 0.021
Pd 0.411 0.393 0.481
Pd 0.089 0.981 0.893
Pd 0.589 0.607 0.519
Pd 0.911 0.019 0.107
Pd 0.084 0.237 0.150
Pd 0.416 0.650 0.737
Pd 0.916 0.763 0.850
Pd 0.584 0.350 0.263
Pd 0.579 0.868 0.782
Pd 0.921 0.282 0.368
Pd 0.421 0.132 0.218
Pd 0.079 0.718 0.632



Record 8
A plane-wave DFT calculation with PBE was carried out for a geometry-optimized Ce2SmDy3Bi6 structure.

Computed properties:
Energy relative to the elements = -984 kJ/mol of formula units

a b c (Å): 4.539 9.058 10.124
angles (deg): 102.79 102.95 90.00
Last column: magnetic moment on the atom in μB.
Atoms (fractional coordinates):
Ce 0.834 0.668 0.668  0.80
Ce 0.166 0.332 0.332  0.80
Sm 0.500 0.000 0.000  0.00
Dy 0.500 0.500 0.000  -0.01
Dy 0.834 0.166 0.667  -0.01
Dy 0.166 0.834 0.333  -0.01
Bi 0.332 0.921 0.664  -0.02
Bi 0.665 0.587 0.331  -0.02
Bi 0.668 0.079 0.336  -0.02
Bi 0.999 0.253 0.997  -0.01
Bi 0.001 0.747 0.003  -0.01
Bi 0.335 0.413 0.669  -0.02



Record 9
A plane-wave DFT calculation with PBE was carried out for a geometry-optimized La2NiW structure.

Computed properties:
Distance to the lowest polymorph of the same formula = 0.0000 eV/atom
Energy relative to the elements = 85 kJ/mol of formula units

a b c (Å): 4.249 4.716 5.579
angles (deg): 65.01 90.00 90.00
Atoms (fractional coordinates):
La 0.000 0.970 0.936
La 0.500 0.274 0.327
Ni 0.000 0.678 0.516
W 0.500 0.578 0.720



Record 10
A plane-wave DFT calculation with PBE was carried out for a geometry-optimized LaY4Er3 structure.

Computed properties:
Distance to the lowest polymorph of the same formula = 0.0000 eV/atom
Energy relative to the elements = 8 kJ/mol of formula units

a b c (Å): 6.297 7.302 11.347
angles (deg): 90.00 90.00 90.00
Atoms (fractional coordinates):
La 0.147 0.376 0.000
La 0.647 0.624 0.500
Y 0.145 0.873 0.000
Y 0.647 0.124 0.000
Y 0.984 0.126 0.253
Y 0.484 0.874 0.247
Y 0.147 0.876 0.500
Y 0.645 0.127 0.500
Y 0.484 0.874 0.753
Y 0.984 0.126 0.747
Er 0.649 0.626 0.000
Er 0.980 0.625 0.251
Er 0.480 0.375 0.249
Er 0.149 0.374 0.500
Er 0.480 0.375 0.751
Er 0.980 0.625 0.749



Record 11
A plane-wave DFT calculation with PBE was carried out for a geometry-optimized Y3PbO6 structure.

Computed properties:
Distance to the lowest polymorph of the same formula = 0.0000 eV/atom

a b c (Å): 6.829 6.829 6.829
angles (deg): 92.58 92.58 92.58
Atoms (fractional coordinates):
Y 0.441 0.933 0.749
Y 0.933 0.749 0.441
Y 0.251 0.559 0.067
Y 0.749 0.441 0.933
Y 0.067 0.251 0.559
Y 0.559 0.067 0.251
Pb 0.000 0.000 0.000
Pb 0.500 0.500 0.500
O 0.340 0.882 0.068
O 0.118 0.932 0.660
O 0.596 0.811 0.474
O 0.932 0.660 0.118
O 0.474 0.596 0.811
O 0.189 0.526 0.404
O 0.811 0.474 0.596
O 0.526 0.404 0.189
O 0.068 0.340 0.882
O 0.404 0.189 0.526
O 0.882 0.068 0.340
O 0.660 0.118 0.932



Record 12
A plane-wave DFT calculation with PBE was carried out for a geometry-optimized Pm3Hg2N structure.

a b c (Å): 5.019 7.219 8.329
angles (deg): 90.18 107.54 90.00
Atoms (fractional coordinates):
Pm 0.500 0.250 0.000
Pm 0.500 0.750 0.000
Pm 0.112 0.000 0.223
Pm 0.888 0.500 0.777
Pm 0.112 0.500 0.223
Pm 0.888 0.000 0.777
Hg 0.697 0.750 0.395
Hg 0.697 0.250 0.395
Hg 0.303 0.750 0.605
Hg 0.303 0.250 0.605
N 0.000 0.750 0.000
N 0.000 0.250 0.000



Record 13
A plane-wave DFT calculation with PBE was carried out for a geometry-optimized NbBSCl2 structure.

Computed properties:
Distance to the lowest polymorph of the same formula = 0.2010 eV/atom

a b c (Å): 4.261 4.261 4.452
angles (deg): 90.00 90.00 90.00
Last column: magnetic moment on the atom in μB.
Atoms (fractional coordinates):
Nb 0.500 0.500 0.500  2.39
B 0.000 0.000 0.000  0.00
S 0.000 0.000 0.500  -0.07
Cl 0.000 0.500 0.000  -0.01
Cl 0.500 0.000 0.000  -0.01



| no. | final energy (eV for the cell shown) |
| --- | --- |
| 1 | -38.35 |
| 2 | -21.98 |
| 3 | -75.91 |
| 4 | -94.33 |
| 5 | -50.67 |
| 6 | -59.66 |
| 7 | -93.22 |
| 8 | -63.88 |
| 9 | -27.71 |
| 10 | -88.78 |
| 11 | -163.01 |
| 12 | -55.39 |
| 13 | -21.46 |